Computed, not measured: a relaxed CaMgCuAu2 crystal at the PBE level of DFT.

Properties
The value obtained for the calculated formation energy is 2.4 eV/f.u. The energy above the most stable polymorph in this dataset is 521.0 meV per atom. The calculation puts the total magnetization at 0.0 μB/f.u. The calculated total energy comes out at -2.371 eV per atom.

a = 4.9002 Å, b = 4.9002 Å, c = 5.7534 Å
α = 90.00°, β = 90.00°, γ = 90.00°
Last column: nearest neighbours and their distance in Å.
Space group P4/mmm (No. 123)
One atom of each set of equivalent atoms:
Ca 0.0000 0.0000 0.0000 (multiplicity 1)  2 Mg 2.88
Mg 0.0000 0.0000 0.5000 (multiplicity 1)  4 Au 2.45
Cu 0.5000 0.5000 0.0000 (multiplicity 1)  4 Ca 3.46, 8 Au 3.78
Au 0.0000 0.5000 0.5000 (multiplicity 2)  2 Mg 2.45



Computed, not measured: a relaxed Tm3CoSi6Ni2 crystal at the PBE level of DFT.

Properties
For the energy relative to the elements, uncorrected, the calculation gives -0.37 eV/atom. The calculation puts the total magnetization at 0.0 μB/f.u. The calculated total energy comes out at -5.755 eV per atom.

a = 5.2007 Å, b = 5.2007 Å, c = 8.8142 Å
α = 90.00°, β = 90.00°, γ = 120.00°
Last column: nearest neighbours and their distance in Å.
Space group P-3m1 (No. 164)
One atom of each set of equivalent atoms:
Tm 0.0000 0.0000 0.0000 (multiplicity 1)  6 Si 2.91, 6 Ni 3.10
Tm 0.3333 0.6667 0.5768 (multiplicity 2)  9 Si 2.87-2.99, 3 Co 3.08
Co 0.0000 0.0000 0.5000 (multiplicity 1)  6 Si 2.41
Si 0.1648 0.3295 0.2844 (multiplicity 6)  1 Ni 2.31, 1 Co 2.41, 2 Si 2.57
Ni 0.3333 0.6667 0.0861 (multiplicity 2)  3 Si 2.31



Computed, not measured: a relaxed Cs3AsS crystal at the PBE level of DFT.

Properties
For the energy relative to the elements, uncorrected, the calculation gives -0.33 eV/atom. The calculation puts the total magnetization at 2.0 μB/f.u. The calculated total energy comes out at -2.601 eV per atom.

a = 6.6783 Å, b = 6.6783 Å, c = 6.6783 Å
α = 90.00°, β = 90.00°, γ = 90.00°
Last column: nearest neighbours and their distance in Å.
Space group Pm-3m (No. 221)
One atom of each set of equivalent atoms:
Cs 0.0000 0.0000 0.5000 (multiplicity 3)  2 S 3.34
As 0.5000 0.5000 0.5000 (multiplicity 1)  12 Cs 4.72
S 0.0000 0.0000 0.0000 (multiplicity 1)  6 Cs 3.34